1.
# Al2ZnBr | the Alexandria database | GGA-PBE | relaxed
# **Space group**: C2/m (12)
# **DOS at the Fermi energy**: 1.3 states/eV/f.u.
# **Formation energy without anion corrections**: 0.11 eV per atom
data_Al2ZnBr
_cell_length_a 5.1711
_cell_length_b 5.1711
_cell_length_c 4.4985
_cell_angle_alpha 69.88
_cell_angle_beta 69.88
_cell_angle_gamma 112.93
_space_group_name_H-M_alt 'P 1'
_space_group_IT_number 1
loop_
_space_group_symop_operation_xyz
'x,y,z'
loop_
_atom_site_label
_atom_site_type_symbol
_atom_site_fract_x
_atom_site_fract_y
_atom_site_fract_z
Al1 Al 0.5000 0.5000 0.0000
Al2 Al 0.0000 0.0000 0.0000
Br1 Br 0.5000 0.0000 0.5000
Zn1 Zn 0.0000 0.5000 0.5000


2.
# Mg2GaSi2Ru5 | the Alexandria database | GGA-PBE | relaxed
# **Space group**: P4/mbm (127)
# **DOS at the Fermi energy**: 10.5 states/eV/f.u.
# **Formation energy without anion corrections**: -0.34 eV per atom
data_Mg2GaSi2Ru5
_cell_length_a 3.1411
_cell_length_b 9.7241
_cell_length_c 9.7241
_cell_angle_alpha 90.00
_cell_angle_beta 90.00
_cell_angle_gamma 90.00
_space_group_name_H-M_alt 'P 1'
_space_group_IT_number 1
loop_
_space_group_symop_operation_xyz
'x,y,z'
loop_
_atom_site_label
_atom_site_type_symbol
_atom_site_fract_x
_atom_site_fract_y
_atom_site_fract_z
Ru1 Ru 0.5000 0.0000 0.5000
Si1 Si 0.0000 0.6311 0.8689
Mg1 Mg 0.0000 0.1698 0.3302
Ga1 Ga 0.0000 0.5000 0.5000
Ru2 Ru 0.5000 0.6984 0.4310
Mg2 Mg 0.0000 0.6698 0.1698
Mg3 Mg 0.0000 0.8302 0.6698
Ga2 Ga 0.0000 0.0000 0.0000
Si2 Si 0.0000 0.3689 0.1311
Ru3 Ru 0.5000 0.8016 0.9310
Si3 Si 0.0000 0.8689 0.3689
Ru4 Ru 0.5000 0.9310 0.1984
Ru5 Ru 0.5000 0.0690 0.8016
Ru6 Ru 0.5000 0.5000 0.0000
Si4 Si 0.0000 0.1311 0.6311
Mg4 Mg 0.0000 0.3302 0.8302
Ru7 Ru 0.5000 0.1984 0.0690
Ru8 Ru 0.5000 0.5690 0.6984
Ru9 Ru 0.5000 0.4310 0.3016
Ru10 Ru 0.5000 0.3016 0.5690


3.
# BaMg2BiMo | the Alexandria database | GGA-PBE | relaxed
# **Space group**: P4/mmm (123)
# **E_form**: 1719 meV per atom
# **DOS at the Fermi energy**: 3.9 states/eV/f.u.
data_BaMg2BiMo
_cell_length_a 6.2665
_cell_length_b 6.3738
_cell_length_c 6.2665
_cell_angle_alpha 90.00
_cell_angle_beta 90.00
_cell_angle_gamma 90.00
_space_group_name_H-M_alt 'P 1'
_space_group_IT_number 1
loop_
_space_group_symop_operation_xyz
'x,y,z'
loop_
_atom_site_label
_atom_site_type_symbol
_atom_site_fract_x
_atom_site_fract_y
_atom_site_fract_z
Mg1 Mg 0.5000 0.0000 0.0000
Ba1 Ba 0.0000 0.0000 0.0000
Mg2 Mg 0.0000 0.0000 0.5000
Bi1 Bi 0.0000 0.5000 0.0000
Mo1 Mo 0.5000 0.5000 0.5000


4.
# Ba8BiP4 | the Alexandria database | GGA-PBE | relaxed
# **Space group**: F-43m (216)
# **E_form**: -882 meV per atom
# **DOS at the Fermi energy**: 2.1 states/eV/f.u.
data_Ba8BiP4
_cell_length_a 9.6821
_cell_length_b 9.6821
_cell_length_c 9.6821
_cell_angle_alpha 60.00
_cell_angle_beta 60.00
_cell_angle_gamma 60.00
_space_group_name_H-M_alt 'P 1'
_space_group_IT_number 1
loop_
_space_group_symop_operation_xyz
'x,y,z'
loop_
_atom_site_label
_atom_site_type_symbol
_atom_site_fract_x
_atom_site_fract_y
_atom_site_fract_z
Ba1 Ba 0.1393 0.5821 0.1393
Ba2 Ba 0.6076 0.6076 0.6076
Ba3 Ba 0.5821 0.1393 0.1393
P1 P 0.3716 0.3716 0.3716
P2 P 0.8852 0.3716 0.3716
Ba4 Ba 0.1393 0.1393 0.5821
Bi1 Bi 0.7500 0.7500 0.7500
Ba5 Ba 0.1772 0.6076 0.6076
P3 P 0.3716 0.3716 0.8852
P4 P 0.3716 0.8852 0.3716
Ba6 Ba 0.6076 0.6076 0.1772
Ba7 Ba 0.1393 0.1393 0.1393
Ba8 Ba 0.6076 0.1772 0.6076